An optimized crystal structure of Y2MnSbO7, computed with GGA+U.

Computed properties:
* magnetization: 16.0 μB/cell
* uncorrected energy: -0.2896 Ha/atom

Unit cell a=7.141 b=7.488 c=10.361 alpha=90.00 beta=90.00 gamma=90.00
Space group Imma (No. 74)
Symmetry-distinct sites (fractional):
Y (0.000, 0.000, 0.000) x4
Y (0.250, 0.250, 0.250) x4
Mn (0.250, 0.250, 0.750) x4
Sb (0.000, 0.000, 0.500) x4
O (0.000, 0.250, 0.123) x4
O (0.000, 0.250, 0.422) x4
O (0.000, 0.250, 0.832) x4
O (0.208, 0.032, 0.626) x16